[1]
The following is a DFT calculation (PBE) of BaY2Mn after structural relaxation.

Geometry as POSCAR:
```
BaY2Mn
1.0
3.9826 0.0000 0.0000
-1.9913 3.4490 0.0000
0.0000 0.0000 29.6223
Ba Y Mn
3 6 3
direct
0.0000 0.0000 0.0000
0.3333 0.6667 0.6667
0.6667 0.3333 0.3333
0.0000 0.0000 0.2197
0.0000 0.0000 0.7803
0.3333 0.6667 0.4469
0.3333 0.6667 0.8864
0.6667 0.3333 0.1136
0.6667 0.3333 0.5531
0.0000 0.0000 0.5000
0.3333 0.6667 0.1667
0.6667 0.3333 0.8333
```

Output
DFT formation energy (eV per atom): 0.40
Space-group type: R-3m
Polymorph energy (0 for the lowest one) (meV per atom): 185
Total DFT energy (no corrections) (eV/cell): -67.31

=====

[2]
The following is a DFT calculation (PBE) of Tm6Co2Si after structural relaxation.

Geometry as POSCAR:
```
Tm6Co2Si
1.0
-4.5643 4.6453 4.8265
4.5643 -4.6453 4.8265
4.5643 4.6453 -4.8265
Tm Co Si
12 4 2
direct
0.0445 0.2401 0.8043
0.1795 0.2773 0.4568
0.1795 0.7227 0.9022
0.3273 0.0150 0.6877
0.3273 0.6397 0.3123
0.4358 0.2401 0.1957
0.5642 0.7599 0.8043
0.6727 0.3603 0.6877
0.6727 0.9850 0.3123
0.8205 0.2773 0.0978
0.8205 0.7227 0.5432
0.9555 0.7599 0.1957
0.1158 0.6158 0.5000
0.3364 0.0000 0.3364
0.6636 0.0000 0.6636
0.8842 0.3842 0.5000
0.0000 0.0000 0.0000
0.5000 0.5000 0.0000
```

Output
Formation energy (no corrections) (meV per atom): -343
Space-group type: Immm
Total DFT energy (no corrections) (eV/cell): -99.09

=====

[3]
The following is a DFT calculation (PBE) of CsHgBiTe2 after structural relaxation.

Geometry as POSCAR:
```
CsHgBiTe2
1.0
5.7625 0.0000 0.0000
0.0000 5.7625 0.0000
0.0000 0.0000 6.2286
Cs Hg Bi Te
1 1 1 2
direct
0.0000 0.0000 0.0000
0.0000 0.0000 0.5000
0.5000 0.5000 0.0000
0.0000 0.5000 0.5000
0.5000 0.0000 0.5000
```

Output
Formation energy (no corrections) (meV per atom): 259
Space-group type: P4/mmm
Polymorph energy (0 for the lowest one) (meV per atom): 546
Total DFT energy (no corrections) (eV/cell): -10.03